Record 1
Computed, not measured: an optimized crystal structure of Ba3Hg2O at the GGA-PBE level of DFT.

abc: 4.313 8.233 12.460
angles: 90.00 99.97 90.00
Atoms (fractional coordinates):
Ba  0.411  0.507  0.822
Ba  0.589  0.493  0.178
Ba  0.411  0.993  0.822
Ba  0.589  0.007  0.178
Ba  0.790  0.750  0.580
Ba  0.210  0.250  0.420
Hg  0.166  0.750  0.333
Hg  0.834  0.250  0.667
Hg  0.006  0.750  0.013
Hg  0.994  0.250  0.987
O  0.348  0.750  0.696
O  0.652  0.250  0.304

Output
Crystal system ... orthorhombic
Energy ... -36.17 eV for the cell shown

Record 2
Computed, not measured: an optimized crystal structure of BaHgO at the GGA-PBE level of DFT.

abc: 4.724 4.724 8.748
angles: 74.34 74.34 60.00
Atoms (fractional coordinates):
Ba  0.610  0.610  0.169
Ba  0.390  0.390  0.831
Hg  0.817  0.817  0.548
Hg  0.183  0.183  0.452
O  0.714  0.714  0.859
O  0.286  0.286  0.141

Output
Energy relative to the lowest polymorph listed for this composition ... 2 meV per atom
Crystal system ... trigonal

Record 3
Computed, not measured: an optimized crystal structure of Ba3Hg5O12 at the GGA-PBE level of DFT.

abc: 12.240 12.240 12.240
angles: 109.47 109.47 109.47
Atoms (fractional coordinates):
Ba  0.750  0.375  0.125
Ba  0.875  0.750  0.125
Ba  0.375  0.750  0.625
Ba  0.250  0.125  0.375
Ba  0.875  0.125  0.250
Ba  0.375  0.625  0.250
Ba  0.625  0.375  0.750
Ba  0.125  0.875  0.750
Ba  0.750  0.875  0.625
Ba  0.625  0.250  0.375
Ba  0.125  0.250  0.875
Ba  0.250  0.625  0.875
Hg  0.125  0.375  0.250
Hg  0.000  0.500  0.000
Hg  0.000  0.000  0.000
Hg  0.375  0.250  0.125
Hg  0.500  0.000  0.500
Hg  0.500  0.500  0.000
Hg  0.125  0.750  0.375
Hg  0.750  0.125  0.875
Hg  0.750  0.625  0.375
Hg  0.375  0.125  0.750
Hg  0.625  0.875  0.250
Hg  0.500  0.500  0.500
Hg  0.500  0.000  0.000
Hg  0.000  0.000  0.500
Hg  0.250  0.375  0.625
Hg  0.250  0.875  0.125
Hg  0.000  0.500  0.500
Hg  0.875  0.250  0.625
Hg  0.625  0.750  0.875
Hg  0.875  0.625  0.750
O  0.689  0.116  0.026
O  0.336  0.526  0.409
O  0.974  0.384  0.311
O  0.526  0.189  0.116
O  0.573  0.689  0.664
O  0.974  0.591  0.164
O  0.336  0.811  0.427
O  0.091  0.927  0.116
O  0.591  0.974  0.664
O  0.689  0.573  0.164
O  0.811  0.474  0.384
O  0.836  0.909  0.026
O  0.116  0.689  0.526
O  0.384  0.409  0.073
O  0.073  0.909  0.384
O  0.427  0.116  0.591
O  0.073  0.164  0.189
O  0.474  0.664  0.091
O  0.836  0.927  0.311
O  0.116  0.427  0.091
O  0.384  0.974  0.811
O  0.591  0.616  0.427
O  0.909  0.836  0.526
O  0.811  0.336  0.927
O  0.409  0.384  0.573
O  0.091  0.164  0.474
O  0.189  0.664  0.073
O  0.164  0.073  0.689
O  0.616  0.026  0.189
O  0.884  0.573  0.909
O  0.526  0.336  0.909
O  0.573  0.884  0.409
O  0.927  0.836  0.811
O  0.927  0.091  0.616
O  0.884  0.311  0.474
O  0.164  0.091  0.974
O  0.616  0.591  0.927
O  0.409  0.026  0.336
O  0.311  0.427  0.836
O  0.189  0.526  0.616
O  0.909  0.073  0.884
O  0.664  0.189  0.573
O  0.474  0.811  0.884
O  0.026  0.409  0.836
O  0.427  0.311  0.336
O  0.026  0.616  0.689
O  0.664  0.474  0.591
O  0.311  0.884  0.974

Output
Crystal system ... cubic
Energy ... -321.50 eV for the cell shown

Record 4
Computed, not measured: an optimized crystal structure of Ba12Hg3O5 at the GGA-PBE level of DFT.

abc: 15.614 15.614 15.614
angles: 109.47 109.47 109.47
Atoms (fractional coordinates):
Hg  0.750  0.375  0.125
Hg  0.875  0.750  0.125
Hg  0.375  0.750  0.625
Hg  0.250  0.125  0.375
Hg  0.875  0.125  0.250
Hg  0.375  0.625  0.250
Hg  0.625  0.375  0.750
Hg  0.125  0.875  0.750
Hg  0.750  0.875  0.625
Hg  0.625  0.250  0.375
Hg  0.125  0.250  0.875
Hg  0.250  0.625  0.875
O  0.125  0.375  0.250
O  0.000  0.500  0.000
O  0.000  0.000  0.000
O  0.375  0.250  0.125
O  0.500  0.000  0.500
O  0.500  0.500  0.000
O  0.125  0.750  0.375
O  0.750  0.125  0.875
O  0.750  0.625  0.375
O  0.375  0.125  0.750
O  0.625  0.875  0.250
O  0.500  0.500  0.500
O  0.500  0.000  0.000
O  0.000  0.000  0.500
O  0.250  0.375  0.625
O  0.250  0.875  0.125
O  0.000  0.500  0.500
O  0.875  0.250  0.625
O  0.625  0.750  0.875
O  0.875  0.625  0.750
Ba  0.696  0.113  0.011
Ba  0.315  0.511  0.398
Ba  0.989  0.387  0.304
Ba  0.511  0.196  0.113
Ba  0.583  0.696  0.685
Ba  0.989  0.602  0.185
Ba  0.315  0.804  0.417
Ba  0.102  0.917  0.113
Ba  0.602  0.989  0.685
Ba  0.696  0.583  0.185
Ba  0.804  0.489  0.387
Ba  0.815  0.898  0.011
Ba  0.113  0.696  0.511
Ba  0.387  0.398  0.083
Ba  0.083  0.898  0.387
Ba  0.417  0.113  0.602
Ba  0.083  0.185  0.196
Ba  0.489  0.685  0.102
Ba  0.815  0.917  0.304
Ba  0.113  0.417  0.102
Ba  0.387  0.989  0.804
Ba  0.602  0.613  0.417
Ba  0.898  0.815  0.511
Ba  0.804  0.315  0.917
Ba  0.398  0.387  0.583
Ba  0.102  0.185  0.489
Ba  0.196  0.685  0.083
Ba  0.185  0.083  0.696
Ba  0.613  0.011  0.196
Ba  0.887  0.583  0.898
Ba  0.511  0.315  0.898
Ba  0.583  0.887  0.398
Ba  0.917  0.815  0.804
Ba  0.917  0.102  0.613
Ba  0.887  0.304  0.489
Ba  0.185  0.102  0.989
Ba  0.613  0.602  0.917
Ba  0.398  0.011  0.315
Ba  0.304  0.417  0.815
Ba  0.196  0.511  0.613
Ba  0.898  0.083  0.887
Ba  0.685  0.196  0.583
Ba  0.489  0.804  0.887
Ba  0.011  0.398  0.815
Ba  0.417  0.304  0.315
Ba  0.011  0.613  0.696
Ba  0.685  0.489  0.602
Ba  0.304  0.887  0.989

Output
Crystal system ... cubic
Energy ... -300.76 eV for the cell shown

Record 5
Computed, not measured: an optimized crystal structure of Ba2HgO at the GGA-PBE level of DFT.

abc: 5.146 5.146 9.218
angles: 73.79 73.79 60.00
Atoms (fractional coordinates):
Hg  0.500  0.500  0.500
O  0.000  0.000  0.000
Ba  0.086  0.086  0.741
Ba  0.914  0.914  0.259

Output
Energy relative to the lowest polymorph listed for this composition ... 375 meV per atom
Crystal system ... trigonal

Record 6
Computed, not measured: an optimized crystal structure of BaHg2O at the GGA-PBE level of DFT.

abc: 9.372 9.372 7.115
angles: 48.80 48.80 90.00
Atoms (fractional coordinates):
Hg  0.548  0.125  0.250
Hg  0.202  0.625  0.250
Hg  0.375  0.452  0.750
Hg  0.875  0.798  0.750
O  0.500  0.500  0.000
O  0.250  0.750  0.500
Ba  0.000  0.000  0.000
Ba  0.750  0.250  0.500

Output
Crystal system ... tetragonal
Energy ... -21.07 eV for the cell shown

Record 7
Computed, not measured: an optimized crystal structure of Ba2HgO at the GGA-PBE level of DFT.

abc: 5.243 5.243 9.814
angles: 90.02 90.02 90.00
Atoms (fractional coordinates):
Ba  0.750  0.750  0.837
Ba  0.750  0.250  0.500
Ba  0.250  0.250  0.163
Ba  0.250  0.750  0.500
Hg  0.250  0.250  0.795
Hg  0.750  0.750  0.205
O  0.250  0.250  0.419
O  0.750  0.750  0.581

Output
Energy relative to the lowest polymorph listed for this composition ... 0 meV per atom
Crystal system ... tetragonal

Record 8
Computed, not measured: an optimized crystal structure of Ba2HgO at the GGA-PBE level of DFT.

abc: 5.542 5.542 5.542
angles: 60.00 60.00 60.00
Atoms (fractional coordinates):
Hg  0.500  0.500  0.500
O  0.000  0.000  0.000
Ba  0.250  0.250  0.250
Ba  0.750  0.750  0.750

Output
Energy relative to the lowest polymorph listed for this composition ... 767 meV per atom
Crystal system ... cubic

Record 9
Computed, not measured: an optimized crystal structure of BaHg2OsO6 at the GGA-PBE level of DFT.

abc: 5.874 5.874 6.655
angles: 63.81 63.80 60.00
Atoms (fractional coordinates):
Ba  0.816  0.816  0.552
Hg  0.603  0.603  0.192
Hg  0.030  0.030  0.911
Os  0.316  0.316  0.052
O  0.534  0.224  0.242
O  0.224  0.000  0.242
O  0.000  0.534  0.242
O  0.408  0.633  0.861
O  0.633  0.098  0.861
O  0.098  0.408  0.861

Output
Crystal system ... trigonal
Energy ... -54.25 eV for the cell shown

Record 10
Computed, not measured: an optimized crystal structure of BaHgPO2 at the GGA-PBE level of DFT.

abc: 4.561 4.561 4.821
angles: 90.00 90.00 90.00
Atoms (fractional coordinates):
P  0.000  0.000  0.500
Hg  0.000  0.000  0.000
O  0.000  0.500  0.000
O  0.500  0.000  0.000
Ba  0.500  0.500  0.500

Output
Energy relative to the lowest polymorph listed for this composition ... 0 meV per atom
Crystal system ... tetragonal

Record 11
Computed, not measured: an optimized crystal structure of BaHg2P2O7 at the GGA-PBE level of DFT.

abc: 5.596 5.596 8.166
angles: 69.96 69.96 60.00
Atoms (fractional coordinates):
Ba  0.500  0.500  0.500
Hg  0.692  0.692  0.925
Hg  0.308  0.308  0.075
P  0.928  0.928  0.215
P  0.072  0.072  0.785
O  0.164  0.926  0.273
O  0.637  0.164  0.273
O  0.926  0.637  0.273
O  0.363  0.074  0.727
O  0.836  0.363  0.727
O  0.000  0.000  0.000
O  0.074  0.836  0.727

Output
Crystal system ... trigonal
Energy ... -70.50 eV for the cell shown

Record 12
Computed, not measured: an optimized crystal structure of BaHgP2O8 at the GGA-PBE level of DFT.

abc: 5.099 5.099 8.101
angles: 90.00 90.00 120.00
Site moments in Bohr magnetons follow the coordinates.
Atoms (fractional coordinates):
Ba  0.000  0.000  0.000  0.00
Hg  0.000  0.000  0.500  0.21
P  0.667  0.333  0.257  -0.01
P  0.333  0.667  0.743  -0.01
O  0.333  0.667  0.934  0.21
O  0.358  0.298  0.311  0.20
O  0.702  0.061  0.311  0.20
O  0.667  0.333  0.066  0.21
O  0.298  0.939  0.689  0.20
O  0.642  0.702  0.689  0.20
O  0.061  0.358  0.689  0.20
O  0.939  0.642  0.311  0.20

Output
Crystal system ... trigonal
Energy ... -74.42 eV for the cell shown